VASP calculation (GGA-PBE) on Cd3In2Hg7 after structural relaxation.

abc: 3.3191 5.3131 17.9847
angles: 92.59 90.00 90.00
Fractional coordinates of all 12 atoms:
Hg 0.0000 0.5461 0.1430
Hg 0.5000 0.7396 0.4657
Hg 0.0000 0.4539 0.8570
Hg 0.0000 0.0000 0.0000
Hg 0.5000 0.2604 0.5343
Hg 0.5000 0.9469 0.8026
Hg 0.5000 0.0531 0.1974
Cd 0.5000 0.5000 0.0000
Cd 0.0000 0.8834 0.6305
Cd 0.0000 0.1166 0.3695
In 0.5000 0.4304 0.6997
In 0.5000 0.5696 0.3003

## Properties
DOS at the Fermi energy, states/eV/cell: 3.8
Symmetry: P2/m (10)
ΔE to the lowest computed polymorph, kJ per mole of atoms: 1.5
Calculated formation energy, meV/atom: 40


VASP calculation (GGA-PBE) on Cd2In5Hg4 after structural relaxation.

abc: 3.1462 8.8178 11.9474
angles: 111.66 97.57 90.00
Fractional coordinates of all 11 atoms:
Hg 0.0000 0.6816 0.0000
Hg 0.0000 0.3184 0.0000
Hg 0.6115 0.6115 0.2229
Hg 0.3885 0.3885 0.7771
In 0.1366 0.9532 0.2731
In 0.8634 0.6801 0.7269
In 0.5000 0.0000 0.0000
In 0.8634 0.0468 0.7269
In 0.1366 0.3199 0.2731
Cd 0.2562 0.2562 0.5123
Cd 0.7438 0.7438 0.4877

## Properties
DOS at the Fermi energy, states/eV/cell: 4.7
Symmetry: Immm (71)
ΔE to the lowest computed polymorph, kJ per mole of atoms: 4.7
Calculated formation energy, meV/atom: 88


VASP calculation (GGA-PBE) on Cd3In2Hg8 after structural relaxation.

abc: 6.0092 8.0266 8.4317
angles: 118.42 88.66 90.00
Fractional coordinates of all 13 atoms:
Hg 0.5804 0.2066 0.7892
Hg 0.9319 0.6149 0.2299
Hg 0.4196 0.4173 0.2108
Hg 0.4196 0.7934 0.2108
Hg 0.0681 0.3851 0.7701
Hg 0.0866 0.8156 0.6311
Hg 0.9134 0.1844 0.3689
Hg 0.5804 0.5827 0.7892
In 0.4177 0.2246 0.4492
In 0.5823 0.7754 0.5508
Cd 0.5000 0.0000 0.0000
Cd 0.0000 0.1883 0.0000
Cd 0.0000 0.8117 0.0000

## Properties
DOS at the Fermi energy, states/eV/cell: 4.1
Symmetry: C2/m (12)
ΔE to the lowest computed polymorph, kJ per mole of atoms: 2.3
Calculated formation energy, meV/atom: 42


VASP calculation (GGA-PBE) on CdIn8Hg5 after structural relaxation.

abc: 8.2512 8.2512 8.2512
angles: 99.90 99.90 131.00
Fractional coordinates of all 14 atoms:
In 0.9604 0.6080 0.1179
In 0.0466 0.3291 0.6052
In 0.5586 0.9534 0.2825
In 0.6709 0.2761 0.7175
In 0.7239 0.4414 0.3948
In 0.4901 0.8425 0.8821
In 0.1575 0.0396 0.6476
In 0.3920 0.5099 0.3524
Hg 0.5000 0.5000 0.0000
Hg 0.0030 0.2629 0.9794
Hg 0.2835 0.0236 0.0206
Hg 0.7371 0.7165 0.7401
Hg 0.9764 0.9970 0.2599
Cd 0.2500 0.7500 0.5000

## Properties
DOS at the Fermi energy, states/eV/cell: 5.3
Symmetry: I-4 (82)
ΔE to the lowest computed polymorph, kJ per mole of atoms: 2.2
Calculated formation energy, meV/atom: 45


VASP calculation (GGA-PBE) on CdInHg5 after structural relaxation.

abc: 5.6319 7.7972 7.7972
angles: 66.93 68.83 68.83
Fractional coordinates of all 7 atoms:
Cd 0.5000 0.5000 0.5000
In 0.0000 0.0000 0.0000
Hg 0.0000 0.5000 0.5000
Hg 0.5000 0.8293 0.1707
Hg 0.7476 0.2524 0.2524
Hg 0.2524 0.7476 0.7476
Hg 0.5000 0.1707 0.8293

## Properties
DOS at the Fermi energy, states/eV/cell: 2.8
Symmetry: Immm (71)
ΔE to the lowest computed polymorph, kJ per mole of atoms: 11.0
Calculated formation energy, meV/atom: 140


VASP calculation (GGA-PBE) on CdIn2Hg4 after structural relaxation.

abc: 5.6698 5.6698 8.3780
angles: 70.22 70.22 90.00
Fractional coordinates of all 7 atoms:
In 0.3944 0.3944 0.2112
In 0.6056 0.6056 0.7888
Hg 0.8035 0.8035 0.3930
Hg 0.0000 0.5000 0.0000
Hg 0.1965 0.1965 0.6070
Hg 0.5000 0.0000 0.0000
Cd 0.0000 0.0000 0.0000

## Properties
DOS at the Fermi energy, states/eV/cell: 4.3
Symmetry: I4/mmm (139)
ΔE to the lowest computed polymorph, kJ per mole of atoms: 11.2
Calculated formation energy, meV/atom: 150


VASP calculation (GGA-PBE) on CdIn2Hg after structural relaxation.

abc: 3.3501 3.3501 10.2360
angles: 90.00 90.00 114.88
Fractional coordinates of all 4 atoms:
Cd 0.0000 0.0000 0.5064
Hg 0.5000 0.5000 0.7437
In 0.5000 0.5000 0.2572
In 0.0000 0.0000 0.9926

## Properties
DOS at the Fermi energy, states/eV/cell: 1.2
Symmetry: Cmm2 (35)
ΔE to the lowest computed polymorph, kJ per mole of atoms: 2.7
Calculated formation energy, meV/atom: 34


VASP calculation (GGA-PBE) on Cd2In2Hg after structural relaxation.

abc: 7.9480 7.9480 4.1805
angles: 90.00 90.00 90.00
Fractional coordinates of all 10 atoms:
In 0.1686 0.6686 0.5000
In 0.3314 0.1686 0.5000
In 0.6686 0.8314 0.5000
In 0.8314 0.3314 0.5000
Cd 0.8660 0.6340 0.0000
Cd 0.3660 0.8660 0.0000
Cd 0.1340 0.3660 0.0000
Cd 0.6340 0.1340 0.0000
Hg 0.5000 0.5000 0.0000
Hg 0.0000 0.0000 0.0000

## Properties
DOS at the Fermi energy, states/eV/cell: 4.6
Symmetry: P4/mbm (127)
ΔE to the lowest computed polymorph, kJ per mole of atoms: 0.6
Calculated formation energy, meV/atom: 61